# 1
Here is an optimized crystal structure of ZnOsW4 from Alexandria via LeMat-Bulk. Energies are from GGA-PBE.

Cell: 5.2138 5.2138 5.2138 Å, 60.00 60.00 60.00°
Atoms (fractional coordinates):
1 W 0.3763 0.8710 0.3763
2 W 0.3763 0.3763 0.3763
3 Zn 0.7500 0.7500 0.7500
4 W 0.3763 0.3763 0.8710
5 Os 0.0000 0.0000 0.0000
6 W 0.8710 0.3763 0.3763

Results
- V: 16.7 A^3/atom
- Symmetry: F-43m, No. 216

# 2
Here is an optimized crystal structure of Zn2OsW from Alexandria via LeMat-Bulk. Energies are from GGA-PBE.

Cell: 2.7340 2.7340 8.9563 Å, 90.00 90.00 114.94°
Atoms (fractional coordinates):
1 Os 0.0000 0.0000 0.5015
2 Zn 0.5000 0.5000 0.2499
3 Zn 0.0000 0.0000 0.0036
4 W 0.5000 0.5000 0.7450

Results
- V: 15.2 A^3/atom
- Symmetry: Cmm2, No. 35

# 3
Here is an optimized crystal structure of Zn2OsW from Alexandria via LeMat-Bulk. Energies are from GGA-PBE.

Cell: 9.1780 9.1780 9.1780 Å, 17.47 17.47 17.47°
Atoms (fractional coordinates):
1 Os 0.4983 0.4983 0.4983
2 Zn 0.0010 0.0010 0.0010
3 Zn 0.2478 0.2478 0.2478
4 W 0.7529 0.7529 0.7529

Results
- V: 15.2 A^3/atom
- Symmetry: R3m, No. 160

# 4
Here is an optimized crystal structure of Zn2OsW from Alexandria via LeMat-Bulk. Energies are from GGA-PBE.

Cell: 7.0006 7.0006 5.5867 Å, 51.20 51.20 90.00°
Atoms (fractional coordinates):
1 Zn 0.6334 0.1250 0.2500
2 Os 0.0000 0.0000 0.0000
3 W 0.2500 0.7500 0.5000
4 W 0.5000 0.5000 0.0000
5 Zn 0.3750 0.3666 0.7500
6 Zn 0.1166 0.6250 0.2500
7 Os 0.7500 0.2500 0.5000
8 Zn 0.8750 0.8834 0.7500

Results
- V: 15.9 A^3/atom
- Symmetry: I-42d, No. 122

# 5
Here is an optimized crystal structure of Zn2OsW from Alexandria via LeMat-Bulk. Energies are from GGA-PBE.

Cell: 4.1887 3.7603 3.7603 Å, 90.00 90.00 90.00°
Atoms (fractional coordinates):
1 Os 0.5000 0.5000 0.0000
2 Zn 0.0000 0.5000 0.5000
3 Zn 0.0000 0.0000 0.0000
4 W 0.5000 0.0000 0.5000

Results
- V: 14.8 A^3/atom
- Symmetry: P4/mmm, No. 123

# 6
Here is an optimized crystal structure of Zn2OsW from Alexandria via LeMat-Bulk. Energies are from GGA-PBE.

Cell: 5.1768 5.1768 2.6878 Å, 79.68 79.68 118.34°
Atoms (fractional coordinates):
1 Zn 0.5000 0.5000 0.0000
2 Os 0.5000 0.0000 0.5000
3 W 0.0000 0.5000 0.5000
4 Zn 0.0000 0.0000 0.0000

Results
- V: 14.9 A^3/atom
- Symmetry: C2/m, No. 12

Number 1: calculated formation energy 367 kJ/mol of formula units, E_tot -10.086 eV/atom. Number 2: calculated formation energy 90 kJ/mol of formula units, E_tot -6.450 eV/atom. Number 3: calculated formation energy 53 kJ/mol of formula units, E_tot -6.545 eV/atom. Number 4: calculated formation energy 347 kJ/mol of formula units, E_tot -5.783 eV/atom. Number 5: calculated formation energy 133 kJ/mol of formula units, E_tot -6.339 eV/atom. Number 6: calculated formation energy 124 kJ/mol of formula units, E_tot -6.362 eV/atom.